# 1
Compound: TaAlAg2
Source: Alexandria via LeMat-Bulk
Functional: meta-GGA SCAN
Structure: single point on PBEsol structure

Cell: 2.852 4.864 5.555 Å, 115.97 104.88 90.00°
Element x y z (fractional)
Al 0.493 0.493 0.986
Ag 0.006 0.006 0.012
Ag 0.762 0.262 0.523
Ta 0.240 0.740 0.479

- N(E_F): 2.08 states/eV/f.u.
- Excess energy over the best structure of this formula in the dataset: 0.13 eV per formula unit
- Energy of formation from the pure elements: 205 meV per atom
- Total DFT energy (no corrections): -136.3 eV for the cell shown
- Symmetry: No. 44
- Magnetic moment: 0.00 μB/f.u.

=====

# 2
Compound: TbAlAg2
Source: Alexandria via LeMat-Bulk
Functional: meta-GGA SCAN
Structure: single point on PBEsol structure

Cell: 4.764 4.764 4.764 Å, 60.00 60.00 60.00°
Element x y z (fractional)
Tb 0.000 0.000 0.000
Al 0.500 0.500 0.500
Ag 0.750 0.750 0.750
Ag 0.250 0.250 0.250

- N(E_F): 1.33 states/eV/f.u.
- Energy of formation from the pure elements: -397 meV per atom
- Total DFT energy (no corrections): -118.8 eV for the cell shown
- Symmetry: No. 225
- Magnetic moment: 0.00 μB/f.u.

=====

# 3
Compound: AlTcAg3
Source: Alexandria via LeMat-Bulk
Functional: meta-GGA SCAN
Structure: single point on PBEsol structure

Cell: 4.627 4.627 4.627 Å, 90.00 90.00 90.00°
Each line ends with the local moment (μB).
Element x y z (fractional)
Tc 0.500 0.500 0.500  3.69
Ag 0.000 0.500 0.000  -0.04
Ag 0.000 0.000 0.500  -0.04
Ag 0.500 0.000 0.000  -0.04
Al 0.000 0.000 0.000  0.00

- N(E_F): 2.60 states/eV/f.u.
- Energy of formation from the pure elements: 1057 meV per atom
- Total DFT energy (no corrections): -131.6 eV for the cell shown
- Symmetry: No. 221
- Magnetic moment: 3.69 μB/f.u.

=====

# 4
Compound: AlTcAg2
Source: Alexandria via LeMat-Bulk
Functional: meta-GGA SCAN
Structure: single point on PBEsol structure

Cell: 3.766 3.766 5.097 Å, 111.68 111.68 90.00°
Element x y z (fractional)
Tc 0.000 0.000 0.000
Ag 0.750 0.250 0.500
Ag 0.250 0.750 0.500
Al 0.500 0.500 0.000

- N(E_F): 2.40 states/eV/f.u.
- Energy of formation from the pure elements: 263 meV per atom
- Total DFT energy (no corrections): -104.5 eV for the cell shown
- Symmetry: No. 139
- Magnetic moment: 0.00 μB/f.u.